Entry 1:
## KCr2S4 (GGA-PBEsol)

Data for an optimized crystal structure of KCr2S4.

* volume: 18.6 Å³ per atom
* total DFT energy (no corrections): -6.34 eV/atom
* ΔE to the lowest computed polymorph: 9.4 kJ per mole of atoms
* energy relative to the elements, uncorrected: -0.746 eV/atom

Cell: 3.5281 3.5281 12.0481 Å, 90.00 90.00 120.00°
Last column: magnetic moment on the atom in μB.
Fractional coordinates of all 7 atoms:
Cr: 0.6667 0.3333 0.2970  2.63
Cr: 0.6667 0.3333 0.7030  2.63
K: 0.0000 0.0000 0.0000  0.00
S: 0.0000 0.0000 0.3895  -0.19
S: 0.3333 0.6667 0.1889  -0.06
S: 0.3333 0.6667 0.8111  -0.06
S: 0.0000 0.0000 0.6105  -0.19

Entry 2:
## KCr2S4 (GGA-PBEsol)

Data for an optimized crystal structure of KCr2S4.

* volume: 18.5 Å³ per atom
* total DFT energy (no corrections): -6.44 eV/atom
* ΔE to the lowest computed polymorph: 0.0 kJ per mole of atoms
* energy relative to the elements, uncorrected: -0.843 eV/atom

Cell: 3.1016 5.4580 7.9808 Å, 102.07 101.20 90.00°
Fractional coordinates of all 7 atoms:
Cr: 0.7536 0.8051 0.5071
Cr: 0.2464 0.1949 0.4929
K: 0.5000 0.5000 0.0000
S: 0.3533 0.9847 0.7065
S: 0.6467 0.0153 0.2935
S: 0.8276 0.4715 0.6551
S: 0.1724 0.5285 0.3449

Q: Which of these has the lowest total DFT energy (no corrections)?
A: number 2